DFT (PBE) results for an optimized crystal structure of Pm4In2Ru.

Lattice parameters (Å, degrees): 4.8847 6.2412 7.5569 80.65 71.14 66.96
Closest atoms and distances in Å follow each position.
Fractional positions:
Pm 0.0726 0.2139 0.6410  1 Ru 2.80
Pm 0.3352 0.2840 0.0455  2 Ru 2.96, 3 In 3.19-3.30
Pm 0.6648 0.7160 0.9545  2 Ru 2.96, 3 In 3.19-3.30
Pm 0.9274 0.7861 0.3590  1 Ru 2.80
In 0.6605 0.3537 0.3253  1 In 3.07, 1 Ru 3.15, 6 Pm 3.19-3.40
In 0.3395 0.6463 0.6747  1 In 3.07, 1 Ru 3.15, 6 Pm 3.19-3.40
Ru 0.0000 0.0000 0.0000  6 Pm 2.80-2.96

Summary:
Fermi-level density of states ... 5.98 states/eV/cell
Space group ... No. 12
Electronic total energy ... -0.3810 Ry per atom
Formation enthalpy at 0 K ... -0.36 eV/atom



DFT (PBE) results for an optimized crystal structure of Zr2RuCl.

Lattice parameters (Å, degrees): 4.7089 4.7089 4.7089 60.00 60.00 60.00
Closest atoms and distances in Å follow each position.
Fractional positions:
Zr 0.2500 0.2500 0.2500  4 Ru 2.88, 4 Cl 2.88
Zr 0.7500 0.7500 0.7500  4 Cl 2.88, 4 Ru 2.88
Ru 0.5000 0.5000 0.5000  8 Zr 2.88
Cl 0.0000 0.0000 0.0000  8 Zr 2.88

Summary:
Fermi-level density of states ... 5.03 states/eV/cell
Space group ... No. 225
Electronic total energy ... -0.5311 Ry per atom
Raw formation energy ... -0.1718 eV per atom



DFT (PBE) results for an optimized crystal structure of Na3NpCl6.

Lattice parameters (Å, degrees): 6.9823 7.3544 10.5742 90.00 88.21 90.00
Closest atoms and distances in Å follow each position.
Fractional positions:
Cl 0.1775 0.3054 0.0896  1 Np 2.75, 2 Na 2.81-2.90
Cl 0.8205 0.6827 0.5665  1 Np 2.72, 2 Na 2.73-2.82
Cl 0.6795 0.1827 0.9335  1 Np 2.72, 2 Na 2.73-2.82
Cl 0.1442 0.0745 0.7600  1 Np 2.76, 3 Na 2.86-3.01
Cl 0.3205 0.8173 0.0665  1 Np 2.72, 2 Na 2.73-2.82
Cl 0.6442 0.4255 0.2600  1 Np 2.76, 3 Na 2.86-3.01
Cl 0.1795 0.3173 0.4335  1 Np 2.72, 2 Na 2.73-2.82
Cl 0.6775 0.1946 0.5896  1 Np 2.75, 2 Na 2.81-2.90
Cl 0.3225 0.8054 0.4104  1 Np 2.75, 2 Na 2.81-2.90
Cl 0.3558 0.5745 0.7400  1 Np 2.76, 3 Na 2.86-3.01
Cl 0.8225 0.6946 0.9104  1 Np 2.75, 2 Na 2.81-2.90
Cl 0.8558 0.9255 0.2400  1 Np 2.76, 3 Na 2.86-3.01
Na 0.5287 0.9249 0.7663  5 Cl 2.82-3.10
Na 0.4713 0.0751 0.2337  5 Cl 2.82-3.10
Na 0.0287 0.5751 0.2663  5 Cl 2.82-3.10
Na 0.9713 0.4249 0.7337  5 Cl 2.82-3.10
Na 0.5000 0.5000 0.0000  6 Cl 2.73-3.01
Na 0.0000 0.0000 0.5000  6 Cl 2.73-3.01
Np 0.5000 0.5000 0.5000  6 Cl 2.72-2.76
Np 0.0000 0.0000 0.0000  6 Cl 2.72-2.76

Summary:
Fermi-level density of states ... 11.81 states/eV/cell
Space group ... No. 14
Electronic total energy ... -0.3346 Ry per atom
Raw formation energy ... -1.7542 eV per atom



DFT (PBE) results for an optimized crystal structure of Ti2AgAuN.

Lattice parameters (Å, degrees): 5.2170 3.7883 5.2170 90.00 90.00 90.00
Closest atoms and distances in Å follow each position.
Fractional positions:
Ti 0.0000 0.0000 0.5000  2 Au 2.61
Ti 0.5000 0.0000 0.0000  2 Au 2.61
Au 0.0000 0.0000 0.0000  2 N 1.89
N 0.0000 0.5000 0.0000  2 Au 1.89
Ag 0.5000 0.5000 0.5000  8 Ti 3.22

Summary:
Fermi-level density of states ... 8.40 states/eV/cell
Space group ... No. 123
Electronic total energy ... -0.3537 Ry per atom
Raw formation energy ... 1.2369 eV per atom



DFT (PBE) results for an optimized crystal structure of NaIn2F8.

Lattice parameters (Å, degrees): 4.0981 6.1651 6.1651 114.24 93.22 93.22
Closest atoms and distances in Å follow each position.
Fractional positions:
F 0.9583 0.6678 0.9326  2 In 2.13-2.24
F 0.0417 0.3322 0.0674  2 In 2.13-2.24
F 0.3042 0.5775 0.5775  1 F 2.00
F 0.6958 0.4225 0.4225  1 F 2.00
F 0.0417 0.0674 0.3322  2 In 2.13-2.24
F 0.5000 0.2476 0.7524  2 In 2.14
F 0.5000 0.7524 0.2476  2 In 2.14
F 0.9583 0.9326 0.6678  2 In 2.13-2.24
Na 0.5000 0.0000 0.0000  12 F 2.56-2.86
In 0.0000 0.6933 0.3067  6 F 2.13-2.24
In 0.0000 0.3067 0.6933  6 F 2.13-2.24

Summary:
Space group ... No. 12
Electronic total energy ... -0.3129 Ry per atom
Raw formation energy ... -2.2789 eV per atom



DFT (PBE) results for an optimized crystal structure of TlH3Rh.

Lattice parameters (Å, degrees): 3.8795 3.8795 3.8795 90.00 90.00 90.00
Closest atoms and distances in Å follow each position.
Fractional positions:
H 0.0000 0.5000 0.0000  2 Tl 1.94
H 0.0000 0.0000 0.5000  2 Tl 1.94
H 0.5000 0.0000 0.0000  2 Tl 1.94
Rh 0.5000 0.5000 0.5000  12 H 2.74
Tl 0.0000 0.0000 0.0000  6 H 1.94

Summary:
Fermi-level density of states ... 3.86 states/eV/cell
Space group ... No. 221
Electronic total energy ... -0.2065 Ry per atom



DFT (PBE) results for an optimized crystal structure of Tm8ZnTe4Se3.

Lattice parameters (Å, degrees): 8.2954 8.4466 8.2953 119.41 120.00 90.00
Closest atoms and distances in Å follow each position.
Fractional positions:
Te 0.0000 0.0000 0.5000  6 Tm 3.06-3.10
Te 0.0000 0.0000 0.0000  6 Tm 3.06-3.10
Te 0.5000 0.0000 0.5000  6 Tm 3.06-3.10
Te 0.5000 0.0000 0.0000  6 Tm 3.17
Se 0.5000 0.5000 0.5000  6 Tm 2.83-2.87
Se 0.5000 0.5000 0.0000  6 Tm 2.83-2.87
Se 0.0000 0.5000 0.5000  6 Tm 2.83-2.87
Zn 0.0000 0.5000 0.0000  6 Tm 2.76
Tm 0.7670 0.2825 0.5341  1 Zn 2.76, 2 Se 2.87, 2 Te 3.06
Tm 0.7670 0.2825 0.0155  1 Zn 2.76, 2 Se 2.87, 2 Te 3.06
Tm 0.7392 0.7175 0.4783  3 Se 2.83, 3 Te 3.10
Tm 0.7516 0.7175 0.9845  1 Zn 2.76, 2 Se 2.87, 2 Te 3.06
Tm 0.2484 0.2825 0.0155  1 Zn 2.76, 2 Se 2.87, 2 Te 3.06
Tm 0.2608 0.2825 0.5217  3 Se 2.83, 3 Te 3.10
Tm 0.2330 0.7175 0.9845  1 Zn 2.76, 2 Se 2.87, 2 Te 3.06
Tm 0.2330 0.7175 0.4659  1 Zn 2.76, 2 Se 2.87, 2 Te 3.06

Summary:
Fermi-level density of states ... 8.30 states/eV/cell
Space group ... No. 166
Electronic total energy ... -0.3704 Ry per atom
Raw formation energy ... -1.2861 eV per atom



DFT (PBE) results for an optimized crystal structure of BeMoPd.

Lattice parameters (Å, degrees): 2.7308 2.7343 10.7199 104.71 89.98 90.00
Closest atoms and distances in Å follow each position.
Fractional positions:
Be 0.3096 0.6071 0.7650  4 Pd 2.40, 4 Mo 2.55
Be 0.3097 0.3295 0.4846  8 Pd 2.41-2.44
Pd 0.8101 0.9711 0.6277  8 Be 2.40-2.44
Pd 0.8108 0.6914 0.3459  4 Be 2.41
Mo 0.3114 0.9909 0.1445  8 Mo 2.73-2.99, 4 Pd 2.84-2.85
Mo 0.8101 0.2674 0.9259  4 Be 2.55, 4 Mo 2.73

Summary:
Fermi-level density of states ... 3.61 states/eV/cell
Space group ... No. 6
Electronic total energy ... -0.5015 Ry per atom
Formation enthalpy at 0 K ... -0.24 eV/atom



DFT (PBE) results for an optimized crystal structure of Cd2CuRe.

Lattice parameters (Å, degrees): 2.8013 2.8013 8.6659 90.00 90.00 90.00
Closest atoms and distances in Å follow each position.
Fractional positions:
Cd 0.5000 0.5000 0.2794  4 Cd 2.80, 4 Cu 2.86
Cd 0.0000 0.0000 0.9810  4 Cd 2.80, 4 Re 2.99
Re 0.5000 0.5000 0.7228  4 Cu 2.67, 4 Re 2.80
Cu 0.0000 0.0000 0.5168  4 Re 2.67, 4 Cu 2.80, 4 Cd 2.86

Summary:
Fermi-level density of states ... 2.61 states/eV/cell
Space group ... No. 99
Electronic total energy ... -0.3082 Ry per atom
Formation enthalpy at 0 K ... 0.40 eV/atom



DFT (PBE) results for an optimized crystal structure of Cs2TbPaO6.

Lattice parameters (Å, degrees): 6.3675 6.3669 6.3670 59.99 59.99 90.00
Closest atoms and distances in Å follow each position.
Fractional positions:
O 0.7586 0.7585 0.9998  1 Pa 2.18, 1 Tb 2.33
O 0.7585 0.7586 0.4831  1 Pa 2.17, 1 Tb 2.33
O 0.2416 0.7584 0.9999  1 Pa 2.18, 1 Tb 2.33
O 0.2414 0.2415 0.0002  1 Pa 2.18, 1 Tb 2.33
O 0.7584 0.2416 0.0001  1 Pa 2.18, 1 Tb 2.33
O 0.2415 0.2414 0.5169  1 Pa 2.17, 1 Tb 2.33
Pa 0.0000 0.0000 0.0000  6 O 2.17-2.18
Cs 0.7500 0.2501 0.5001  12 O 3.18
Cs 0.2500 0.7499 0.4999  12 O 3.18
Tb 0.5000 0.5000 0.0000  6 O 2.33

Summary:
Fermi-level density of states ... 7.93 states/eV/cell
Space group ... No. 225
Electronic total energy ... -0.5186 Ry per atom
Raw formation energy ... -2.4978 eV per atom



DFT (PBE) results for an optimized crystal structure of CsRe2PSe.

Lattice parameters (Å, degrees): 5.1406 5.2151 5.1406 90.00 90.00 90.00
Closest atoms and distances in Å follow each position.
Fractional positions:
Cs 0.0000 0.0000 0.0000  4 Re 2.57, 2 P 2.61
Re 0.0000 0.0000 0.5000  2 Cs 2.57
Re 0.5000 0.0000 0.0000  2 Cs 2.57
Se 0.5000 0.5000 0.5000  4 P 3.63, 8 Re 3.66
P 0.0000 0.5000 0.0000  2 Cs 2.61

Summary:
Fermi-level density of states ... 6.57 states/eV/cell
Space group ... No. 123
Electronic total energy ... -0.2377 Ry per atom
Raw formation energy ... 3.6950 eV per atom



DFT (PBE) results for an optimized crystal structure of Y2MgCl.

Lattice parameters (Å, degrees): 6.0846 6.0846 8.5950 69.27 69.27 90.00
Closest atoms and distances in Å follow each position.
Fractional positions:
Y 0.0566 0.6250 0.2500  2 Cl 2.64
Y 0.3750 0.3066 0.7500  2 Cl 2.64
Y 0.6934 0.1250 0.2500  2 Cl 2.64
Y 0.8750 0.9434 0.7500  2 Cl 2.64
Mg 0.2500 0.7500 0.5000  4 Y 3.09
Mg 0.5000 0.5000 0.0000  4 Y 3.09
Cl 0.0000 0.0000 0.0000  4 Y 2.64
Cl 0.7500 0.2500 0.5000  4 Y 2.64

Summary:
Fermi-level density of states ... 12.21 states/eV/cell
Space group ... No. 122
Electronic total energy ... -0.3061 Ry per atom
Raw formation energy ... -0.0729 eV per atom



DFT (PBE) results for an optimized crystal structure of AcTm2Zn2Ga2.

Lattice parameters (Å, degrees): 4.5048 4.5048 9.9084 76.86 76.86 60.00
Closest atoms and distances in Å follow each position.
Fractional positions:
Ga 0.2500 0.2500 0.2501  3 Zn 2.60
Ga 0.7500 0.7500 0.7499  3 Zn 2.60
Zn 0.4123 0.4123 0.7630  3 Ga 2.60
Zn 0.5877 0.5877 0.2370  3 Ga 2.60
Tm 0.8695 0.8695 0.3916  3 Ga 2.93, 3 Zn 2.99
Tm 0.1305 0.1305 0.6084  3 Ga 2.93, 3 Zn 2.99
Ac 0.0000 0.0000 0.0000  6 Zn 3.45, 6 Ga 3.53, 2 Tm 3.74

Summary:
Fermi-level density of states ... 4.82 states/eV/cell
Space group ... No. 166
Electronic total energy ... -0.2560 Ry per atom
Formation enthalpy at 0 K ... -0.39 eV/atom



DFT (PBE) results for an optimized crystal structure of Li2Tb2GaPd5.

Lattice parameters (Å, degrees): 3.6049 9.6060 9.6060 90.00 90.00 90.00
Closest atoms and distances in Å follow each position.
Fractional positions:
Ga 0.0000 0.5000 0.5000  8 Pd 2.73
Ga 0.0000 0.0000 0.0000  8 Pd 2.73
Pd 0.5000 0.2967 0.5654  2 Li 2.52, 2 Ga 2.73
Pd 0.5000 0.0000 0.5000  4 Li 2.45
Pd 0.5000 0.5000 0.0000  4 Li 2.45
Pd 0.5000 0.5654 0.7033  2 Li 2.52, 2 Ga 2.73
Pd 0.5000 0.7967 0.9346  2 Li 2.52, 2 Ga 2.73
Pd 0.5000 0.0654 0.7967  2 Li 2.52, 2 Ga 2.73
Pd 0.5000 0.7033 0.4346  2 Li 2.52, 2 Ga 2.73
Pd 0.5000 0.9346 0.2033  2 Li 2.52, 2 Ga 2.73
Pd 0.5000 0.2033 0.0654  2 Li 2.52, 2 Ga 2.73
Pd 0.5000 0.4346 0.2967  2 Li 2.52, 2 Ga 2.73
Tb 0.0000 0.8225 0.6775  3 Li 2.73-2.92, 2 Pd 3.01
Tb 0.0000 0.3225 0.8225  3 Li 2.73-2.92, 2 Pd 3.01
Tb 0.0000 0.1775 0.3225  3 Li 2.73-2.92, 2 Pd 3.01
Tb 0.0000 0.6775 0.1775  3 Li 2.73-2.92, 2 Pd 3.01
Li 0.0000 0.6218 0.8782  6 Pd 2.45-2.52, 1 Tb 2.73
Li 0.0000 0.1218 0.6218  6 Pd 2.45-2.52, 1 Tb 2.73
Li 0.0000 0.3782 0.1218  6 Pd 2.45-2.52, 1 Tb 2.73
Li 0.0000 0.8782 0.3782  6 Pd 2.45-2.52, 1 Tb 2.73

Summary:
Fermi-level density of states ... 4.79 states/eV/cell
Space group ... No. 127
Electronic total energy ... -0.3597 Ry per atom
Formation enthalpy at 0 K ... -0.69 eV/atom



DFT (PBE) results for an optimized crystal structure of Mg2HgRh.

Lattice parameters (Å, degrees): 3.1241 3.9935 5.8292 90.00 90.00 90.00
Closest atoms and distances in Å follow each position.
Fractional positions:
Rh 0.0000 0.0000 0.4682  6 Mg 2.75-3.06, 4 Hg 3.03
Hg 0.5000 0.5000 0.7522  5 Mg 2.72-2.90, 4 Rh 3.03
Mg 0.5000 0.5000 0.2858  1 Hg 2.72, 4 Rh 2.75
Mg 0.0000 0.0000 0.9939  2 Rh 2.76-3.06, 4 Hg 2.90, 4 Mg 3.05

Summary:
Fermi-level density of states ... 1.83 states/eV/cell
Space group ... No. 25
Electronic total energy ... -0.2153 Ry per atom
Formation enthalpy at 0 K ... -0.22 eV/atom



DFT (PBE) results for an optimized crystal structure of CsTlI3.

Lattice parameters (Å, degrees): 9.6455 9.2613 13.3304 90.00 103.85 90.00
Closest atoms and distances in Å follow each position.
Fractional positions:
Tl 0.9393 0.8428 0.3690  4 I 3.02-3.15
Tl 0.5607 0.3428 0.1310  4 I 3.02-3.15
Tl 0.0607 0.1572 0.6310  4 I 3.02-3.15
Tl 0.4393 0.6572 0.8690  4 I 3.02-3.15
Cs 0.9511 0.6225 0.8023  7 I 3.84-4.24
Cs 0.5489 0.1225 0.6977  7 I 3.84-4.24
Cs 0.4511 0.8775 0.3023  7 I 3.84-4.24
Cs 0.0489 0.3775 0.1977  7 I 3.84-4.24
I 0.7325 0.5980 0.2593  2 Tl 3.14-3.15
I 0.6968 0.8526 0.9177  1 Tl 3.02
I 0.1914 0.1169 0.4405  2 Tl 3.12-3.49
I 0.2675 0.4020 0.7407  2 Tl 3.14-3.15
I 0.7675 0.0980 0.2407  2 Tl 3.14-3.15
I 0.2325 0.9020 0.7593  2 Tl 3.14-3.15
I 0.8086 0.8831 0.5595  2 Tl 3.12-3.49
I 0.1968 0.6474 0.4177  1 Tl 3.02
I 0.6914 0.3831 0.9405  2 Tl 3.12-3.49
I 0.3032 0.1474 0.0823  1 Tl 3.02
I 0.8032 0.3526 0.5823  1 Tl 3.02
I 0.3086 0.6169 0.0595  2 Tl 3.12-3.49

Summary:
Fermi-level density of states ... 5.84 states/eV/cell
Space group ... No. 14
Electronic total energy ... -0.1750 Ry per atom
Raw formation energy ... -0.8065 eV per atom



DFT (PBE) results for an optimized crystal structure of TiAl2GaCl.

Lattice parameters (Å, degrees): 4.8009 5.0716 4.8009 90.00 90.00 90.00
Closest atoms and distances in Å follow each position.
Fractional positions:
Al 0.5000 0.0000 0.0000  2 Ga 2.40
Al 0.0000 0.0000 0.5000  2 Ga 2.40
Ti 0.5000 0.5000 0.5000  4 Cl 3.39, 8 Al 3.49
Ga 0.0000 0.0000 0.0000  4 Al 2.40, 2 Cl 2.54
Cl 0.0000 0.5000 0.0000  2 Ga 2.54

Summary:
Fermi-level density of states ... 5.59 states/eV/cell
Space group ... No. 123
Electronic total energy ... -0.2439 Ry per atom
Raw formation energy ... 0.7320 eV per atom